Entry 1:
# Ca2CuSn3 (PBE, relaxed)
data_Ca2CuSn3
_symmetry_space_group_name_H-M 'P m m 2'
_symmetry_Int_Tables_number 25
_cell_length_a 4.434
_cell_length_b 4.695
_cell_length_c 7.901
_cell_angle_alpha 90.00
_cell_angle_beta 90.00
_cell_angle_gamma 90.00
loop_
_symmetry_equiv_pos_as_xyz
'x,y,z'
'-x,-y,z'
'-x,y,z'
'x,-y,z'
loop_
_atom_site_label
_atom_site_type_symbol
_atom_site_fract_x
_atom_site_fract_y
_atom_site_fract_z
_atom_site_occupancy
Ca1 Ca 0.000 0.000 0.000 1
Ca2 Ca 0.000 0.500 0.491 1
Cu1 Cu 0.500 0.000 0.304 1
Sn1 Sn 0.500 0.000 0.626 1
Sn2 Sn 0.500 0.500 0.184 1
Sn3 Sn 0.500 0.500 0.828 1
# - Energy of formation: -0.389 eV per atom
# - Uncorrected energy: -22.44 eV per cell
# - Size of the total moment: 0.000 μB per atom
# - V: 27.42 Å³ per atom



Entry 2:
# In2MoP (PBE, relaxed)
data_In2MoP
_symmetry_space_group_name_H-M 'P m m m'
_symmetry_Int_Tables_number 47
_cell_length_a 3.665
_cell_length_b 4.400
_cell_length_c 4.730
_cell_angle_alpha 90.00
_cell_angle_beta 90.00
_cell_angle_gamma 90.00
loop_
_symmetry_equiv_pos_as_xyz
'x,y,z'
'-x,-y,-z'
'-x,-y,z'
'x,y,-z'
'x,-y,-z'
'-x,y,z'
'-x,y,-z'
'x,-y,z'
loop_
_atom_site_label
_atom_site_type_symbol
_atom_site_fract_x
_atom_site_fract_y
_atom_site_fract_z
_atom_site_occupancy
In1 In 0.000 0.000 0.000 1
In2 In 0.500 0.000 0.500 1
Mo1 Mo 0.000 0.500 0.500 1
P1 P 0.500 0.500 0.000 1
# - Energy of formation: 0.557 eV per atom
# - Uncorrected energy: -19.49 eV per cell
# - Size of the total moment: 0.299 μB per atom
# - V: 19.07 Å³ per atom



Entry 3:
# K2Cd12AgAu3 (PBE, relaxed)
data_K2Cd12AgAu3
_symmetry_space_group_name_H-M 'R -3 m'
_symmetry_Int_Tables_number 166
_symmetry_space_group_name_Hall '-R 3 2"'
_cell_length_a 9.6682
_cell_length_b 9.6682
_cell_length_c 21.5814
_cell_angle_alpha 90.00
_cell_angle_beta 90.00
_cell_angle_gamma 120.00
loop_
_atom_site_label
_atom_site_type_symbol
_atom_site_fract_x
_atom_site_fract_y
_atom_site_fract_z
_atom_site_occupancy
K1 K 0.0000 0.0000 0.1019 1
Cd1 Cd 0.0164 0.5082 0.1306 1
Cd2 Cd 0.1024 0.5512 0.3923 1
Ag1 Ag 0.0000 0.0000 0.5000 1
Au1 Au 0.0000 0.5000 0.0000 1
# - Energy of formation: 0.059 eV per atom
# - Uncorrected energy: -74.40 eV per cell
# - Size of the total moment: 0.000 μB per atom
# - V: 32.35 Å³ per atom



Entry 4:
# Rb3CaSc (PBE, relaxed)
data_Rb3CaSc
_symmetry_space_group_name_H-M 'P m -3 m'
_symmetry_Int_Tables_number 221
_symmetry_space_group_name_Hall '-P 4 2 3'
_cell_length_a 7.221
_cell_length_b 7.221
_cell_length_c 7.221
_cell_angle_alpha 90.00
_cell_angle_beta 90.00
_cell_angle_gamma 90.00
loop_
_atom_site_label
_atom_site_type_symbol
_atom_site_fract_x
_atom_site_fract_y
_atom_site_fract_z
_atom_site_occupancy
Rb1 Rb 0.000 0.000 0.500 1
Ca1 Ca 0.500 0.500 0.500 1
Sc1 Sc 0.000 0.000 0.000 1
# - Polymorph energy (0 for the lowest one): 0.0 meV/atom
# - Energy of formation: 0.869 eV per atom
# - Uncorrected energy: -6.89 eV per cell
# - Size of the total moment: 0.762 μB per atom
# - V: 75.30 Å³ per atom



Entry 5:
# LiEuScSi (PBE, relaxed)
data_LiEuScSi
_symmetry_space_group_name_H-M 'F -4 3 m'
_symmetry_Int_Tables_number 216
_symmetry_space_group_name_Hall 'F -4 2 3'
_cell_length_a 6.997
_cell_length_b 6.997
_cell_length_c 6.997
_cell_angle_alpha 90.00
_cell_angle_beta 90.00
_cell_angle_gamma 90.00
loop_
_atom_site_label
_atom_site_type_symbol
_atom_site_fract_x
_atom_site_fract_y
_atom_site_fract_z
_atom_site_occupancy
Li1 Li 0.000 0.000 0.000 1
Eu1 Eu 0.250 0.250 0.750 1
Sc1 Sc 0.250 0.250 0.250 1
Si1 Si 0.000 0.000 0.500 1
# - ΔE_f (raw): -0.27 eV per atom
# - Uncorrected energy: -100.11 eV per cell
# - Size of the total moment: 1.865 μB per atom
# - V: 21.41 Å³ per atom



Entry 6:
# AcMg4Cd2Ga (PBE, relaxed)
data_AcMg4Cd2Ga
_symmetry_space_group_name_H-M 'R -3 m'
_symmetry_Int_Tables_number 166
_symmetry_space_group_name_Hall '-R 3 2"'
_cell_length_a 4.8957
_cell_length_b 4.8957
_cell_length_c 28.8448
_cell_angle_alpha 90.00
_cell_angle_beta 90.00
_cell_angle_gamma 120.00
loop_
_atom_site_label
_atom_site_type_symbol
_atom_site_fract_x
_atom_site_fract_y
_atom_site_fract_z
_atom_site_occupancy
Ac1 Ac 0.0000 0.0000 0.0000 1
Mg1 Mg 0.0000 0.0000 0.1332 1
Mg2 Mg 0.0000 0.0000 0.4050 1
Cd1 Cd 0.0000 0.0000 0.2502 1
Ga1 Ga 0.0000 0.0000 0.5000 1
# - Energy of formation: -0.138 eV per atom
# - Uncorrected energy: -49.35 eV per cell
# - Size of the total moment: 0.000 μB per atom
# - V: 24.95 Å³ per atom



Entry 7:
# ZrCrSb2H (PBE, relaxed)
data_ZrCrSb2H
_symmetry_space_group_name_H-M 'P 4/m m m'
_symmetry_Int_Tables_number 123
_symmetry_space_group_name_Hall '-P 4 2'
_cell_length_a 5.526
_cell_length_b 5.526
_cell_length_c 5.260
_cell_angle_alpha 90.00
_cell_angle_beta 90.00
_cell_angle_gamma 90.00
loop_
_atom_site_label
_atom_site_type_symbol
_atom_site_fract_x
_atom_site_fract_y
_atom_site_fract_z
_atom_site_occupancy
Zr1 Zr 0.000 0.000 0.000 1
Cr1 Cr 0.000 0.000 0.500 1
Sb1 Sb 0.000 0.500 0.000 1
H1 H 0.500 0.500 0.500 1
# - Uncorrected energy: -23.94 eV per cell
# - Size of the total moment: 0.982 μB per atom
# - V: 32.13 Å³ per atom